Density functional theory data (PBE-GGA) for a geometry-optimized UPa2Bi structure.

The space group is P4/mmm (No. 123) and the conventional cell measures 3.854, 3.854 and 6.774 Å, with angles of 90.00, 90.00 and 90.00 degrees. Symmetry generates all atoms from U at (0.000, 0.000, 0.000), Pa at (0.500, 0.500, 0.224) and Bi at (0.000, 0.000, 0.500).

As for the total magnetization: 2.0 μB per formula unit. The value obtained for the energy relative to the elements is 0.114 eV per atom. The value obtained for the energy is -8.43 eV/atom.

=====

Density functional theory data (PBE-GGA) for a geometry-optimized UPa2Bi structure.

The space group is P4/mmm (No. 123) and the conventional cell measures 4.646, 4.646 and 4.560 Å, with angles of 90.00, 90.00 and 90.00 degrees. Symmetry generates all atoms from U at (0.000, 0.000, 0.000), Pa at (0.000, 0.500, 0.500) and Bi at (0.500, 0.500, 0.000).

As for the total magnetization: 0.9 μB per formula unit. The value obtained for the energy relative to the elements is 0.010 eV per atom. The value obtained for the energy is -8.53 eV/atom.

=====

Density functional theory data (PBE-GGA) for a geometry-optimized UPa2Bi structure.

The space group is Fm-3m (No. 225) and the conventional cell measures 7.441, 7.441 and 7.441 Å, with angles of 90.00, 90.00 and 90.00 degrees. Symmetry generates all atoms from U at (0.000, 0.000, 0.000), Pa at (0.250, 0.250, 0.250) and Bi at (0.000, 0.000, 0.500).

As for the total magnetization: 4.3 μB per formula unit. The value obtained for the energy relative to the elements is 0.285 eV per atom. The value obtained for the energy is -8.25 eV/atom.